The following is a PBE calculation of TmNpS3 after structural relaxation, from Alexandria via LeMat-Bulk.

Summary:
The value obtained for the relative energy among the computed polymorphs is 0.000 eV/atom. The value obtained for the uncorrected formation energy is -1.734 eV per atom.

a = 7.272 Å, b = 3.899 Å, c = 14.911 Å
α = 90.00°, β = 90.00°, γ = 90.00°
Space group Pnma (No. 62)
Inequivalent atoms, fractional coordinates:
1 Tm 0.236 0.250 0.042 x4
2 Np 0.139 0.750 0.293 x4
3 S 0.011 0.750 0.106 x4
4 S 0.124 0.250 0.434 x4
5 S 0.146 0.750 0.720 x4

***

The following is a PBE calculation of SrZr2PdN4 after structural relaxation, from Alexandria via LeMat-Bulk.

Summary:
The value obtained for the uncorrected formation energy is -0.841 eV per atom.

a = 3.314 Å, b = 11.453 Å, c = 11.801 Å
α = 90.00°, β = 90.00°, γ = 90.00°
Space group Cmcm (No. 63)
Inequivalent atoms, fractional coordinates:
1 Sr 0.000 0.114 0.250 x4
2 Zr 0.000 0.367 0.047 x8
3 Pd 0.000 0.153 0.750 x4
4 N 0.000 0.000 0.000 x4
5 N 0.000 0.261 0.600 x8
6 N 0.000 0.450 0.250 x4

***

The following is a PBE calculation of As3RhPb after structural relaxation, from Alexandria via LeMat-Bulk.

Summary:
The formation enthalpy at 0 K is 0.33 eV per atom. The value obtained for the relative energy among the computed polymorphs is 0.000 eV/atom.

a = 4.899 Å, b = 4.899 Å, c = 4.899 Å
α = 90.00°, β = 90.00°, γ = 90.00°
Space group Pm-3m (No. 221)
Inequivalent atoms, fractional coordinates:
1 As 0.000 0.000 0.500 x3
2 Rh 0.000 0.000 0.000 x1
3 Pb 0.500 0.500 0.500 x1

***

The following is a PBE calculation of BaMn2NiS4 after structural relaxation, from Alexandria via LeMat-Bulk.

Summary:
The value obtained for the uncorrected formation energy is -0.815 eV per atom.

a = 3.809 Å, b = 12.835 Å, c = 12.812 Å
α = 90.00°, β = 90.00°, γ = 90.00°
Space group Cmcm (No. 63)
Inequivalent atoms, fractional coordinates:
1 Ba 0.000 0.114 0.250 x4
2 Mn 0.000 0.370 0.061 x8
3 Ni 0.000 0.159 0.750 x4
4 S 0.000 0.000 0.000 x4
5 S 0.000 0.254 0.603 x8
6 S 0.000 0.428 0.250 x4

***

The following is a PBE calculation of La2NdScBi4 after structural relaxation, from Alexandria via LeMat-Bulk.

Summary:
The formation enthalpy at 0 K is -0.90 eV per atom.

a = 7.914 Å, b = 4.591 Å, c = 7.936 Å
α = 90.00°, β = 109.58°, γ = 90.00°
Space group P2/m (No. 10)
Inequivalent atoms, fractional coordinates:
1 La 0.000 0.000 0.000 x1
2 La 0.000 0.500 0.500 x1
3 Nd 0.500 0.000 0.500 x1
4 Sc 0.500 0.500 0.000 x1
5 Bi 0.262 0.500 0.244 x2
6 Bi 0.269 0.000 0.766 x2

***

The following is a PBE calculation of KAgAsSe2 after structural relaxation, from Alexandria via LeMat-Bulk.

Summary:
The value obtained for the relative energy among the computed polymorphs is 1.414 eV/atom. The value obtained for the uncorrected formation energy is 1.168 eV per atom.

a = 5.652 Å, b = 5.652 Å, c = 5.160 Å
α = 90.00°, β = 90.00°, γ = 90.00°
Space group P4/mmm (No. 123)
Inequivalent atoms, fractional coordinates:
1 K 0.000 0.000 0.000 x1
2 Ag 0.000 0.000 0.500 x1
3 As 0.500 0.500 0.500 x1
4 Se 0.000 0.500 0.000 x2

***

The following is a PBE calculation of Pa2TiPN5 after structural relaxation, from Alexandria via LeMat-Bulk.

Summary:
The value obtained for the uncorrected formation energy is -1.124 eV per atom.

a = 3.137 Å, b = 13.768 Å, c = 10.032 Å
α = 90.00°, β = 90.00°, γ = 90.00°
Space group Cmc2_1 (No. 36)
Inequivalent atoms, fractional coordinates:
1 Pa 0.000 0.119 0.000 x4
2 Pa 0.000 0.148 0.647 x4
3 Ti 0.000 0.206 0.351 x4
4 P 0.000 0.449 0.754 x4
5 N 0.000 0.034 0.339 x4
6 N 0.000 0.297 0.991 x4
7 N 0.000 0.333 0.705 x4
8 N 0.000 0.353 0.331 x4
9 N 0.000 0.493 0.112 x4

***

The following is a PBE calculation of Ca2LaTl4 after structural relaxation, from Alexandria via LeMat-Bulk.

Summary:
The formation enthalpy at 0 K is -0.30 eV per atom.

a = 7.788 Å, b = 7.788 Å, c = 7.600 Å
α = 90.00°, β = 90.00°, γ = 90.00°
Space group I4/mmm (No. 139)
Inequivalent atoms, fractional coordinates:
1 Ca 0.000 0.500 0.000 x4
2 La 0.000 0.000 0.000 x2
3 Tl 0.250 0.250 0.250 x8

***

The following is a PBE calculation of Tb2Ge3Pt9 after structural relaxation, from Alexandria via LeMat-Bulk.

Summary:
The formation enthalpy at 0 K is -0.80 eV per atom.

a = 13.540 Å, b = 7.860 Å, c = 10.136 Å
α = 90.00°, β = 116.83°, γ = 90.00°
Space group C2/c (No. 15)
Inequivalent atoms, fractional coordinates:
1 Tb 0.169 0.085 0.251 x8
2 Ge 0.090 0.229 0.497 x8
3 Ge 0.250 0.250 0.000 x4
4 Pt 0.000 0.366 0.250 x4
5 Pt 0.060 0.082 0.923 x8
6 Pt 0.105 0.309 0.742 x8
7 Pt 0.112 0.411 0.076 x8
8 Pt 0.223 0.418 0.420 x8

***

The following is a PBE calculation of TlSn2Cl2 after structural relaxation, from Alexandria via LeMat-Bulk.

Summary:
The value obtained for the relative energy among the computed polymorphs is 0.072 eV/atom. The value obtained for the uncorrected formation energy is -0.234 eV per atom.

a = 4.825 Å, b = 4.825 Å, c = 12.773 Å
α = 90.00°, β = 90.00°, γ = 90.00°
Space group I4/mmm (No. 139)
Inequivalent atoms, fractional coordinates:
1 Tl 0.000 0.000 0.000 x2
2 Sn 0.000 0.000 0.386 x4
3 Cl 0.000 0.500 0.250 x4

***

The following is a PBE calculation of CsMnCl2 after structural relaxation, from Alexandria via LeMat-Bulk.

Summary:
The value obtained for the relative energy among the computed polymorphs is 0.374 eV/atom. The value obtained for the uncorrected formation energy is -0.624 eV per atom.

a = 7.907 Å, b = 7.907 Å, c = 7.907 Å
α = 90.00°, β = 90.00°, γ = 90.00°
Space group Fm-3m (No. 225)
Inequivalent atoms, fractional coordinates:
1 Cs 0.000 0.000 0.000 x4
2 Mn 0.000 0.000 0.500 x4
3 Cl 0.250 0.250 0.250 x8

***

The following is a PBE calculation of Si2PbAu2 after structural relaxation, from Alexandria via LeMat-Bulk.

Summary:
The value obtained for the relative energy among the computed polymorphs is 0.218 eV/atom. The value obtained for the uncorrected formation energy is 0.271 eV per atom.

a = 8.001 Å, b = 8.001 Å, c = 3.119 Å
α = 90.00°, β = 90.00°, γ = 90.00°
Space group P4/mbm (No. 127)
Inequivalent atoms, fractional coordinates:
1 Si 0.148 0.352 0.000 x4
2 Pb 0.000 0.000 0.500 x2
3 Au 0.139 0.639 0.500 x4

***

Let's list spin magnetization in order: 15.9 0.0 0.0 32.0 0.0 0.0 0.0 0.0 0.0 0.0 24.0 0.0 Bohr magnetons per cell.
Let's list DFT total energy in order: -7.69 -8.00 -4.67 -6.13 -5.46 -1.95 -9.34 -2.93 -6.33 -3.05 -4.05 -3.95 eV/atom.